Entry 1:
A plane-wave DFT calculation with GGA-PBEsol was carried out for a relaxed structure of ZnCrSb.

a b c (Å): 4.359 4.359 4.359
angles (deg): 60.00 60.00 60.00
Atoms (fractional coordinates):
Zn 0.500 0.500 0.500
Cr 0.250 0.250 0.250
Sb 0.000 0.000 0.000

Magnetic moment ... 3.41 μB per cell
Formation energy (no corrections) ... 0.25 eV/atom



Entry 2:
A plane-wave DFT calculation with GGA-PBEsol was carried out for a relaxed structure of ZrCrSb2.

a b c (Å): 3.516 3.516 6.343
angles (deg): 90.00 90.00 90.00
Atoms (fractional coordinates):
Zr 0.000 0.000 0.500
Sb 0.000 0.000 0.953
Sb 0.500 0.500 0.282
Cr 0.500 0.500 0.765

Magnetic moment ... 0.00 μB per cell
Polymorph energy (0 for the lowest one) ... 0 meV/atom
Formation energy (no corrections) ... -0.07 eV/atom



Entry 3:
A plane-wave DFT calculation with GGA-PBEsol was carried out for a relaxed structure of ZrCr2Sb.

a b c (Å): 3.283 3.283 6.018
angles (deg): 90.00 90.00 90.00
Atoms (fractional coordinates):
Cr 0.000 0.000 0.241
Cr 0.000 0.000 0.759
Zr 0.500 0.500 0.500
Sb 0.500 0.500 0.000

Magnetic moment ... 2.84 μB per cell
Formation energy (no corrections) ... 0.13 eV/atom



Entry 4:
A plane-wave DFT calculation with GGA-PBEsol was carried out for a relaxed structure of ZrCrSb2.

a b c (Å): 4.162 5.037 5.037
angles (deg): 62.70 65.59 65.59
Atoms (fractional coordinates):
Sb 0.727 0.273 0.273
Sb 0.273 0.727 0.727
Cr 0.000 0.500 0.500
Zr 0.500 0.000 0.000

Magnetic moment ... 2.76 μB per cell
Polymorph energy (0 for the lowest one) ... 20 meV/atom
Formation energy (no corrections) ... -0.05 eV/atom



Entry 5:
A plane-wave DFT calculation with GGA-PBEsol was carried out for a relaxed structure of ZrCrSb2.

a b c (Å): 3.247 3.247 7.113
angles (deg): 90.00 90.00 90.00
Atoms (fractional coordinates):
Sb 0.000 0.000 0.717
Sb 0.000 0.000 0.283
Zr 0.500 0.500 0.000
Cr 0.500 0.500 0.500

Magnetic moment ... 0.44 μB per cell
Polymorph energy (0 for the lowest one) ... 29 meV/atom
Formation energy (no corrections) ... -0.04 eV/atom



Entry 6:
A plane-wave DFT calculation with GGA-PBEsol was carried out for a relaxed structure of ZrCr2Sb.

a b c (Å): 3.392 4.335 4.335
angles (deg): 90.00 90.00 90.00
Atoms (fractional coordinates):
Cr 0.000 0.000 0.500
Cr 0.000 0.500 0.000
Zr 0.500 0.000 0.000
Sb 0.500 0.500 0.500

Magnetic moment ... 3.05 μB per cell
Formation energy (no corrections) ... 0.04 eV/atom



Entry 7:
A plane-wave DFT calculation with GGA-PBEsol was carried out for a relaxed structure of Sc2Cr.

a b c (Å): 4.416 5.551 5.551
angles (deg): 80.90 66.56 66.56
Atoms (fractional coordinates):
Sc 0.655 0.500 0.190
Sc 0.845 0.810 0.500
Sc 0.155 0.190 0.500
Sc 0.345 0.500 0.810
Cr 0.250 0.000 0.000
Cr 0.750 0.000 0.000

Energy of formation from the pure elements ... 0.2662 eV per atom
Magnetic moment ... 2.37 μB per cell



Entry 8:
A plane-wave DFT calculation with GGA-PBEsol was carried out for a relaxed structure of ScCr4.

a b c (Å): 2.886 4.908 4.908
angles (deg): 85.04 72.90 72.90
Atoms (fractional coordinates):
Cr 0.607 0.574 0.213
Cr 0.820 0.787 0.574
Cr 0.180 0.213 0.426
Cr 0.393 0.426 0.787
Sc 0.000 0.000 0.000

Energy of formation from the pure elements ... 0.2619 eV per atom
Magnetic moment ... 0.00 μB per cell



- Number 1 is which compound?
  ZnCrSb



- Look up the magnetic moment of the sixth one.
  3.05 μB per cell